Here is a relaxed structure of Cr3HO from Alexandria via LeMat-Bulk. Energies are from PBE with a Hubbard U.

Unit cell a=4.2607 b=4.2607 c=4.2607 alpha=90.00 beta=90.00 gamma=90.00
Fractional positions:
Cr (0.0000, 0.0000, 0.5000)
Cr (0.0000, 0.5000, 0.0000)
Cr (0.5000, 0.0000, 0.0000)
H (0.5000, 0.5000, 0.5000)
O (0.0000, 0.0000, 0.0000)

Calculated values
- Raw total energy: -29.14 eV per cell
- Spin magnetization: 2.600 μB per atom
- ΔE to the lowest computed polymorph: 0.0000 eV/atom